# 1
Material: Sc3Co
Method: DFT, PBEsol
State: optimized geometry

Calculated values
uncorrected energy	-6.89	eV per atom
crystal system	hexagonal
size of the total moment	0.75	μB/cell
formation enthalpy at 0 K	-0.004	eV/atom
space-group type	P-6m2, No. 187

Lattice parameters (Å, degrees): 3.242 3.242 8.724 90.00 90.00 120.00
Atoms (fractional coordinates):
Sc 0.000 0.000 0.000
Sc 0.667 0.333 0.304
Sc 0.667 0.333 0.696
Co 0.000 0.000 0.500



# 2
Material: LaAs2PbSe
Method: DFT, PBEsol
State: optimized geometry

Calculated values
uncorrected energy	-4.64	eV per atom
crystal system	tetragonal
ΔE_f (raw)	0.040	eV/atom
size of the total moment	0.00	μB/cell
space-group type	P4/mmm, No. 123

Lattice parameters (Å, degrees): 5.199 5.199 5.372 90.00 90.00 90.00
Atoms (fractional coordinates):
La 0.000 0.000 0.000
As 0.000 0.500 0.500
As 0.500 0.000 0.500
Pb 0.500 0.500 0.500
Se 0.500 0.500 0.000



# 3
Material: ZnSbTeN2
Method: DFT, PBEsol
State: optimized geometry

Calculated values
uncorrected energy	-3.90	eV per atom
crystal system	tetragonal
ΔE_f (raw)	1.446	eV/atom
size of the total moment	2.80	μB/cell
space-group type	P4/mmm, No. 123

Lattice parameters (Å, degrees): 4.141 4.141 5.346 90.00 90.00 90.00
Atoms (fractional coordinates):
Zn 0.000 0.000 0.000
Sb 0.500 0.500 0.500
Te 0.000 0.000 0.500
N 0.000 0.500 0.000
N 0.500 0.000 0.000



# 4
Material: In2IrOs
Method: DFT, PBEsol
State: optimized geometry

Calculated values
uncorrected energy	-6.63	eV per atom
crystal system	monoclinic
size of the total moment	0.00	μB/cell
formation enthalpy at 0 K	0.370	eV/atom
space-group type	P2/m, No. 10

Lattice parameters (Å, degrees): 4.699 2.972 5.160 90.00 111.79 90.00
Atoms (fractional coordinates):
In 0.000 0.000 0.000
In 0.000 0.500 0.500
Ir 0.500 0.000 0.500
Os 0.500 0.500 0.000



# 5
Material: YPt2Pb
Method: DFT, PBEsol
State: optimized geometry

Calculated values
uncorrected energy	-6.90	eV per atom
crystal system	orthorhombic
size of the total moment	0.00	μB/cell
formation enthalpy at 0 K	-0.715	eV/atom
space-group type	Amm2, No. 38

Lattice parameters (Å, degrees): 4.248 5.517 5.517 40.53 90.00 90.00
Atoms (fractional coordinates):
Y 0.000 0.000 0.000
Pt 0.000 0.722 0.722
Pt 0.500 0.554 0.554
Pb 0.500 0.286 0.286



# 6
Material: LiMg2Cr
Method: DFT, PBEsol
State: optimized geometry

Calculated values
uncorrected energy	-3.51	eV per atom
crystal system	orthorhombic
size of the total moment	4.13	μB/cell
formation enthalpy at 0 K	0.397	eV/atom
space-group type	Pmm2, No. 25

Lattice parameters (Å, degrees): 3.004 4.293 5.935 90.00 90.00 90.00
Atoms (fractional coordinates):
Li 0.000 0.000 0.000
Mg 0.000 0.000 0.530
Mg 0.500 0.500 0.247
Cr 0.500 0.500 0.754



# 7
Material: SrAsW2
Method: DFT, PBEsol
State: optimized geometry

Calculated values
uncorrected energy	-8.26	eV per atom
crystal system	monoclinic
size of the total moment	0.00	μB/cell
formation enthalpy at 0 K	0.380	eV/atom
space-group type	Cm, No. 8

Lattice parameters (Å, degrees): 4.482 4.482 6.512 99.34 99.34 42.69
Atoms (fractional coordinates):
Sr 0.000 0.000 0.000
As 0.751 0.751 0.320
W 0.219 0.219 0.634
W 0.488 0.488 0.493



# 8
Material: Tb2S2O
Method: DFT, PBEsol
State: optimized geometry

Calculated values
uncorrected energy	-7.50	eV per atom
crystal system	monoclinic
ΔE_f (raw)	-2.692	eV/atom
size of the total moment	0.00	μB/cell
space-group type	P2_1/c, No. 14

Lattice parameters (Å, degrees): 8.190 6.873 6.808 90.00 99.51 90.00
Atoms (fractional coordinates):
Tb 0.077 0.142 0.319
Tb 0.077 0.358 0.819
Tb 0.363 0.554 0.250
Tb 0.363 0.946 0.750
Tb 0.637 0.054 0.250
Tb 0.637 0.446 0.750
Tb 0.923 0.642 0.181
Tb 0.923 0.858 0.681
S 0.181 0.636 0.572
S 0.181 0.864 0.072
S 0.423 0.222 0.471
S 0.423 0.278 0.971
S 0.577 0.722 0.029
S 0.577 0.778 0.529
S 0.819 0.136 0.928
S 0.819 0.364 0.428
O 0.117 0.087 0.650
O 0.117 0.413 0.150
O 0.883 0.587 0.850
O 0.883 0.913 0.350



What did the seventh record say?
Material: SrAsW2
Method: DFT, PBEsol
State: optimized geometry

Calculated values
uncorrected energy	-8.26	eV per atom
crystal system	monoclinic
size of the total moment	0.00	μB/cell
formation enthalpy at 0 K	0.380	eV/atom
space-group type	Cm, No. 8

Lattice parameters (Å, degrees): 4.482 4.482 6.512 99.34 99.34 42.69
Atoms (fractional coordinates):
Sr 0.000 0.000 0.000
As 0.751 0.751 0.320
W 0.219 0.219 0.634
W 0.488 0.488 0.493



- Which of these has the highest uncorrected energy?
  LiMg2Cr